No. 1
Here is KCe2Y3Te6 after structural relaxation from Alexandria via LeMat-Bulk. Energies are from PBE-GGA.

The calculation puts the total energy at -5.6086 eV per atom. As for the size of the total moment: 2.58 μB per formula unit.

The structure in POSCAR format:
```
KCe2Y3Te6
1.0
9.827 -2.204 0.000
9.827 2.204 0.000
-2.277 0.000 8.841
K Ce Y Te
1 2 3 6
direct
0.000 0.000 0.000
0.330 0.330 0.659
0.670 0.670 0.341
0.000 0.000 0.500
0.336 0.336 0.174
0.664 0.664 0.826
0.163 0.163 0.589
0.173 0.173 0.079
0.500 0.500 0.266
0.500 0.500 0.734
0.827 0.827 0.921
0.837 0.837 0.411
```



No. 2
Here is Co2CuTe after structural relaxation from Alexandria via LeMat-Bulk. Energies are from PBE-GGA.

The calculation puts the total energy at -5.0626 eV per atom. As for the size of the total moment: 2.07 μB per formula unit.

The structure in POSCAR format:
```
Co2CuTe
1.0
-1.862 1.862 3.944
1.862 -1.862 3.944
1.862 1.862 -3.944
Co Cu Te
2 1 1
direct
0.000 0.000 0.000
0.750 0.250 0.500
0.250 0.750 0.500
0.500 0.500 0.000
```



No. 3
Here is BeCo2OsPt after structural relaxation from Alexandria via LeMat-Bulk. Energies are from PBE-GGA.

The calculation puts the total energy at -6.4592 eV per atom. The formation energy from the elements is 0.583 eV per atom. As for the size of the total moment: 4.84 μB per formula unit.

The structure in POSCAR format:
```
BeCo2OsPt
1.0
3.962 0.000 0.000
0.000 3.962 0.000
0.000 0.000 4.044
Be Co Os Pt
1 2 1 1
direct
0.000 0.000 0.000
0.000 0.500 0.000
0.500 0.000 0.000
0.500 0.500 0.500
0.000 0.000 0.500
```



No. 4
Here is LaNiRh2 after structural relaxation from Alexandria via LeMat-Bulk. Energies are from PBE-GGA.

The calculation puts the total energy at -6.7073 eV per atom. The formation energy from the elements is -0.354 eV per atom. The value obtained for the relative energy among the computed polymorphs is 0.63 eV/f.u. As for the size of the total moment: 0.00 μB per formula unit.

The structure in POSCAR format:
```
LaNiRh2
1.0
2.177 1.257 4.809
-2.177 1.257 4.809
0.000 -2.514 4.809
La Ni Rh
1 1 2
direct
0.000 0.000 0.000
0.500 0.500 0.500
0.195 0.195 0.195
0.805 0.805 0.805
```



No. 5
Here is BaSbSe after structural relaxation from Alexandria via LeMat-Bulk. Energies are from PBE-GGA.

The calculation puts the total energy at -3.8624 eV per atom. As for the size of the total moment: 0.00 μB per formula unit.

The structure in POSCAR format:
```
BaSbSe
1.0
-2.127 2.127 5.673
2.127 -2.127 5.673
2.127 2.127 -5.673
Ba Sb Se
1 1 1
direct
0.000 0.000 0.000
0.293 0.293 0.000
0.723 0.723 0.000
```



No. 6
Here is Sr2TlInBr8 after structural relaxation from Alexandria via LeMat-Bulk. Energies are from PBE-GGA.

The calculation puts the total energy at -3.2477 eV per atom. As for the size of the total moment: 0.00 μB per formula unit.

The structure in POSCAR format:
```
Sr2TlInBr8
1.0
6.814 0.000 0.000
0.000 9.401 0.000
-0.039 0.000 7.101
Sr Tl In Br
2 1 1 8
direct
0.000 0.246 0.000
0.000 0.754 0.000
0.500 0.500 0.500
0.500 0.000 0.500
0.234 0.500 0.869
0.258 0.000 0.827
0.271 0.206 0.354
0.271 0.794 0.354
0.729 0.206 0.646
0.729 0.794 0.646
0.742 0.000 0.173
0.766 0.500 0.131
```



No. 7
Here is HoAlCdPd after structural relaxation from Alexandria via LeMat-Bulk. Energies are from PBE-GGA.

The calculation puts the total energy at -4.1370 eV per atom. The formation energy from the elements is -0.530 eV per atom. As for the size of the total moment: 0.00 μB per formula unit.

The structure in POSCAR format:
```
HoAlCdPd
1.0
0.000 3.397 3.397
3.397 0.000 3.397
3.397 3.397 0.000
Ho Al Cd Pd
1 1 1 1
direct
0.000 0.000 0.000
0.500 0.500 0.500
0.250 0.250 0.250
0.750 0.750 0.750
```



No. 8
Here is LaErOsO6 after structural relaxation from Alexandria via LeMat-Bulk. Energies are from PBE-GGA.

The calculation puts the total energy at -8.0058 eV per atom. As for the size of the total moment: 2.00 μB per formula unit.

The structure in POSCAR format:
```
LaErOsO6
1.0
5.516 0.000 0.000
-2.758 4.777 0.000
0.000 0.000 10.150
La Er Os O
2 2 2 12
direct
0.000 0.000 0.000
0.000 0.000 0.500
0.333 0.667 0.250
0.667 0.333 0.750
0.333 0.667 0.750
0.667 0.333 0.250
0.039 0.378 0.641
0.039 0.661 0.859
0.339 0.378 0.859
0.339 0.961 0.641
0.378 0.039 0.141
0.378 0.339 0.359
0.622 0.661 0.641
0.622 0.961 0.859
0.661 0.039 0.359
0.661 0.622 0.141
0.961 0.339 0.141
0.961 0.622 0.359
```



No. 9
Here is UGeS after structural relaxation from Alexandria via LeMat-Bulk. Energies are from PBE-GGA.

The calculation puts the total energy at -7.1638 eV per atom. The value obtained for the relative energy among the computed polymorphs is 1.47 eV/f.u. As for the size of the total moment: 1.00 μB per formula unit.

The structure in POSCAR format:
```
UGeS
1.0
4.144 0.000 0.000
0.000 4.144 0.000
0.000 0.000 7.227
U Ge S
2 2 2
direct
0.250 0.250 0.239
0.750 0.750 0.761
0.250 0.250 0.633
0.750 0.750 0.367
0.250 0.750 0.000
0.750 0.250 0.000
```



No. 10
Here is CaAgRh3 after structural relaxation from Alexandria via LeMat-Bulk. Energies are from PBE-GGA.

The calculation puts the total energy at -3.9069 eV per atom. The formation energy from the elements is 1.475 eV per atom. The value obtained for the relative energy among the computed polymorphs is 2.24 eV/f.u. As for the size of the total moment: 1.79 μB per formula unit.

The structure in POSCAR format:
```
CaAgRh3
1.0
4.761 0.000 0.000
0.000 4.761 0.000
0.000 0.000 4.761
Ca Ag Rh
1 1 3
direct
0.000 0.000 0.000
0.500 0.500 0.500
0.000 0.000 0.500
0.000 0.500 0.000
0.500 0.000 0.000
```



No. 11
Here is MgPaGa3 after structural relaxation from Alexandria via LeMat-Bulk. Energies are from PBE-GGA.

The calculation puts the total energy at -4.2794 eV per atom. The formation energy from the elements is -0.245 eV per atom. As for the size of the total moment: 0.39 μB per formula unit.

The structure in POSCAR format:
```
MgPaGa3
1.0
2.022 -12.240 0.000
2.022 12.240 0.000
0.000 0.000 4.151
Mg Pa Ga
2 2 6
direct
0.206 0.794 0.750
0.794 0.206 0.250
0.075 0.925 0.250
0.925 0.075 0.750
0.318 0.682 0.750
0.375 0.625 0.250
0.475 0.525 0.250
0.525 0.475 0.750
0.625 0.375 0.750
0.682 0.318 0.250
```



No. 12
Here is NaMgAu after structural relaxation from Alexandria via LeMat-Bulk. Energies are from PBE-GGA.

The calculation puts the total energy at -2.3970 eV per atom. The formation energy from the elements is -0.333 eV per atom. The value obtained for the relative energy among the computed polymorphs is 0.09 eV/f.u. As for the size of the total moment: 0.00 μB per formula unit.

The structure in POSCAR format:
```
NaMgAu
1.0
-1.795 1.795 11.632
1.795 -1.795 11.632
1.795 1.795 -11.632
Na Mg Au
2 2 2
direct
0.077 0.077 0.000
0.923 0.923 0.000
0.210 0.210 0.000
0.790 0.790 0.000
0.336 0.336 0.000
0.664 0.664 0.000
```